The following is a DFT calculation (PBE) of a geometry-optimized Tl3Ge structure.

Cell: 3.530 12.240 5.311 Å, 90.00 90.00 90.00°
Space group Imm2 (No. 44)
Unique sites:
Tl1 0.000 0.000 0.000 [2 per cell]
Tl2 0.000 0.210 0.499 [4 per cell]
Ge1 0.000 0.500 0.000 [2 per cell]

Computed properties:
formation enthalpy at 0 K	151	meV/atom
total moment	0.00	μB/f.u.
final energy	-22.23	eV for the cell shown